1.
SrPSe: optimized geometry, GGA-PBE.

a b c (Å): 4.1967 6.4927 6.4927
angles (deg): 81.30 90.00 90.00
Closest atoms and distances in Å follow each position.
Sites, in units of the cell vectors:
1 Sr 0.0000 0.2357 0.7643  4 Se 3.02-3.20, 2 P 3.23-3.27
2 Sr 0.0000 0.7643 0.2357  4 Se 3.02-3.20, 2 P 3.23-3.27
3 P 0.0000 0.2636 0.2636  2 P 2.27
4 P 0.5000 0.3523 0.3523  2 P 2.27, 1 Se 2.36
5 Se 0.5000 0.5915 0.5915  1 P 2.36
6 Se 0.5000 0.9113 0.9113  4 Sr 3.02, 1 Se 3.15

Computed properties:
Magnetic moment: 0.00 μB per cell
Space group: No. 38
Energy relative to the elements, uncorrected: -1.029 eV per atom

2.
Mg2Ga2Sn7: optimized geometry, GGA-PBE.

a b c (Å): 6.6989 6.6989 7.3776
angles (deg): 108.48 108.48 82.94
Closest atoms and distances in Å follow each position.
Sites, in units of the cell vectors:
1 Mg 0.1774 0.8226 0.0000  6 Sn 3.01-3.28, 2 Ga 3.12, 1 Mg 3.15
2 Mg 0.8226 0.1774 0.0000  6 Sn 3.01-3.28, 2 Ga 3.12, 1 Mg 3.15
3 Ga 0.2258 0.2258 0.3657  4 Sn 2.76-2.86
4 Ga 0.7742 0.7742 0.6343  4 Sn 2.76-2.86
5 Sn 0.0000 0.0000 0.5000  2 Ga 2.83, 4 Sn 3.02
6 Sn 0.0722 0.5702 0.2297  1 Ga 2.76, 2 Mg 3.01-3.02, 2 Sn 3.02-3.07
7 Sn 0.4298 0.9278 0.7703  1 Ga 2.76, 2 Mg 3.01-3.02, 2 Sn 3.02-3.07
8 Sn 0.4542 0.4542 0.7629  1 Ga 2.86, 2 Sn 3.14
9 Sn 0.5458 0.5458 0.2371  1 Ga 2.86, 2 Sn 3.14
10 Sn 0.5702 0.0722 0.2297  1 Ga 2.76, 2 Mg 3.01-3.02, 2 Sn 3.02-3.07
11 Sn 0.9278 0.4298 0.7703  1 Ga 2.76, 2 Mg 3.01-3.02, 2 Sn 3.02-3.07

Computed properties:
Formation energy: 0.03 eV/atom
Magnetic moment: 0.00 μB per cell
Space group: No. 12

3.
Sb2TeW: optimized geometry, GGA-PBE.

a b c (Å): 10.0241 10.0241 10.0241
angles (deg): 19.45 19.45 19.45
Closest atoms and distances in Å follow each position.
Sites, in units of the cell vectors:
1 Sb 0.2339 0.2339 0.2339  3 W 2.78
2 Sb 0.7661 0.7661 0.7661  3 W 2.78
3 Te 0.0000 0.0000 0.0000  6 Te 3.39, 6 Sb 3.53
4 W 0.5000 0.5000 0.5000  6 Sb 2.78

Computed properties:
Magnetic moment: 0.00 μB per cell
Space group: No. 166
Energy relative to the elements, uncorrected: 0.361 eV per atom

4.
Ni3HgRh: optimized geometry, GGA-PBE.

a b c (Å): 4.5565 4.5565 4.5565
angles (deg): 90.00 90.00 90.00
Closest atoms and distances in Å follow each position.
Sites, in units of the cell vectors:
1 Ni 0.0000 0.0000 0.5000  2 Rh 2.28
2 Ni 0.0000 0.5000 0.0000  2 Rh 2.28
3 Ni 0.5000 0.0000 0.0000  2 Rh 2.28
4 Hg 0.5000 0.5000 0.5000  12 Ni 3.22
5 Rh 0.0000 0.0000 0.0000  6 Ni 2.28

Computed properties:
Formation energy: 1.08 eV/atom
Magnetic moment: 3.40 μB per cell
Energy above the most stable polymorph in this dataset: 0 meV per atom
Space group: No. 221

5.
PuN2Cl3: optimized geometry, GGA-PBE.

a b c (Å): 5.4199 8.2463 10.0044
angles (deg): 90.00 105.64 90.00
Closest atoms and distances in Å follow each position.
Sites, in units of the cell vectors:
1 Pu 0.0002 0.2500 0.0000  6 Cl 2.71-2.72
2 Pu 0.9998 0.7500 0.0000  6 Cl 2.71-2.72
3 N 0.3127 0.2500 0.6280  5 Cl 3.58-3.86, 2 N 3.66
4 N 0.3144 0.7500 0.6279  5 Cl 3.59-3.86, 2 N 3.66
5 N 0.6856 0.2500 0.3721  5 Cl 3.59-3.86, 2 N 3.66
6 N 0.6873 0.7500 0.3720  5 Cl 3.58-3.86, 2 N 3.66
7 Cl 0.0918 0.0001 0.1847  2 Pu 2.72
8 Cl 0.0918 0.4999 0.1847  2 Pu 2.72
9 Cl 0.5003 0.2500 0.0000  2 Pu 2.71
10 Cl 0.4997 0.7500 0.0000  2 Pu 2.71
11 Cl 0.9082 0.9999 0.8153  2 Pu 2.72
12 Cl 0.9082 0.5001 0.8153  2 Pu 2.72

Computed properties:
Magnetic moment: 22.00 μB per cell
Space group: No. 11
Energy relative to the elements, uncorrected: 0.466 eV per atom

6.
SrPm2PuO8: optimized geometry, GGA-PBE.

a b c (Å): 4.2006 7.6920 5.4278
angles (deg): 90.00 96.48 90.00
Closest atoms and distances in Å follow each position.
Sites, in units of the cell vectors:
1 Sr 0.0000 0.0000 0.0000  8 O 2.46-2.65
2 Pm 0.5000 0.2522 0.5000  6 O 2.31-2.52
3 Pm 0.5000 0.7478 0.5000  6 O 2.31-2.52
4 Pu 0.0000 0.5000 0.0000  6 O 2.02-2.04
5 O 0.0494 0.2978 0.7630  1 Pu 2.04
6 O 0.0494 0.7022 0.7630  1 Pu 2.04
7 O 0.4249 0.5000 0.2170  1 Pu 2.02
8 O 0.4886 0.0000 0.7312  2 Pm 2.31, 1 Sr 2.46, 1 O 2.52
9 O 0.5114 0.0000 0.2688  2 Pm 2.31, 1 Sr 2.46, 1 O 2.52
10 O 0.5751 0.5000 0.7830  1 Pu 2.02
11 O 0.9506 0.2978 0.2370  1 Pu 2.04
12 O 0.9506 0.7022 0.2370  1 Pu 2.04

Computed properties:
Magnetic moment: 1.23 μB per cell
Space group: No. 10
Energy relative to the elements, uncorrected: -2.737 eV per atom